Run 1
# ZnPIO2 | Alexandria | GGA-PBE | optimized geometry
# Size of the total moment: 2.033 μB/f.u.
# Calculated density: 4.68 Mg/m³
data_ZnPIO2
_chemical_formula_sum 'Zn1 P1 I1 O2'
_symmetry_space_group_name_H-M 'P 4/m m m'
_symmetry_Int_Tables_number 123
_symmetry_space_group_name_Hall '-P 4 2'
_cell_length_a 3.8736
_cell_length_b 3.8736
_cell_length_c 6.0310
_cell_angle_alpha 90.00
_cell_angle_beta 90.00
_cell_angle_gamma 90.00
loop_
_atom_site_label
_atom_site_fract_x
_atom_site_fract_y
_atom_site_fract_z
Zn1 0.0000 0.0000 0.0000
P1 0.0000 0.0000 0.5000
I1 0.5000 0.5000 0.5000
O1 0.0000 0.5000 0.0000

=====

Run 2
# ZnPIO2 | Alexandria | GGA-PBE | optimized geometry
# Size of the total moment: 2.107 μB/f.u.
# Calculated density: 4.32 Mg/m³
data_ZnPIO2
_chemical_formula_sum 'Zn1 P1 I1 O2'
_symmetry_space_group_name_H-M 'P 4/m m m'
_symmetry_Int_Tables_number 123
_symmetry_space_group_name_Hall '-P 4 2'
_cell_length_a 3.8783
_cell_length_b 3.8783
_cell_length_c 6.5302
_cell_angle_alpha 90.00
_cell_angle_beta 90.00
_cell_angle_gamma 90.00
loop_
_atom_site_label
_atom_site_fract_x
_atom_site_fract_y
_atom_site_fract_z
Zn1 0.0000 0.0000 0.0000
P1 0.5000 0.5000 0.5000
I1 0.0000 0.0000 0.5000
O1 0.0000 0.5000 0.0000

=====

Which structure is the least stable? The one labeled run 2.

=====

Run 1
# Pb3I2O2 | Alexandria | GGA-PBE | optimized geometry
# Size of the total moment: 0.000 μB/f.u.
# Calculated density: 7.10 Mg/m³
data_Pb3I2O2
_chemical_formula_sum 'Pb6 I4 O4'
_symmetry_space_group_name_H-M 'C 1 2/m 1'
_symmetry_Int_Tables_number 12
_cell_length_a 13.7253
_cell_length_b 4.1050
_cell_length_c 8.8927
_cell_angle_alpha 90.00
_cell_angle_beta 122.04
_cell_angle_gamma 90.00
loop_
_symmetry_equiv_pos_as_xyz
'x,y,z'
'-x,-y,-z'
'-x,y,-z'
'x,-y,z'
'x+1/2,y+1/2,z'
'-x+1/2,-y+1/2,-z'
'-x+1/2,y+1/2,-z'
'x+1/2,-y+1/2,z'
loop_
_atom_site_label
_atom_site_fract_x
_atom_site_fract_y
_atom_site_fract_z
Pb1 0.0000 0.0000 0.0000
Pb2 0.1961 0.0000 0.8025
I1 0.0678 0.5000 0.3275
O1 0.2005 0.0000 0.0630

=====

Run 2
# Pb3I2O2 | Alexandria | GGA-PBE | optimized geometry
# Size of the total moment: 0.000 μB/f.u.
# Calculated density: 6.92 Mg/m³
data_Pb3I2O2
_chemical_formula_sum 'Pb12 I8 O8'
_symmetry_space_group_name_H-M 'P n m a'
_symmetry_Int_Tables_number 62
_cell_length_a 18.3607
_cell_length_b 6.0116
_cell_length_c 7.8955
_cell_angle_alpha 90.00
_cell_angle_beta 90.00
_cell_angle_gamma 90.00
loop_
_symmetry_equiv_pos_as_xyz
'x,y,z'
'-x,-y,-z'
'-x+1/2,-y,z+1/2'
'x+1/2,y,-z+1/2'
'x+1/2,-y+1/2,-z+1/2'
'-x+1/2,y+1/2,z+1/2'
'-x,y+1/2,-z'
'x,-y+1/2,z'
loop_
_atom_site_label
_atom_site_fract_x
_atom_site_fract_y
_atom_site_fract_z
Pb1 0.0277 0.2500 0.1442
Pb2 0.1029 0.2500 0.7162
Pb3 0.1596 0.7500 0.0217
I1 0.0647 0.7500 0.3986
I2 0.2431 0.2500 0.1825
O1 0.0739 0.0003 0.9203

=====

Which structure is the least stable? The one labeled run 1.

=====

Run 1
# Pb2IO | Alexandria | GGA-PBE | optimized geometry
# Size of the total moment: 0.000 μB/f.u.
# Calculated density: 6.71 Mg/m³
data_Pb2IO
_chemical_formula_sum 'Pb8 I4 O4'
_symmetry_space_group_name_H-M 'I -4 2 d'
_symmetry_Int_Tables_number 122
_symmetry_space_group_name_Hall 'I -4 2bw'
_cell_length_a 6.4125
_cell_length_b 6.4125
_cell_length_c 13.4256
_cell_angle_alpha 90.00
_cell_angle_beta 90.00
_cell_angle_gamma 90.00
loop_
_atom_site_label
_atom_site_fract_x
_atom_site_fract_y
_atom_site_fract_z
Pb1 0.1126 0.2500 0.1250
I1 0.0000 0.0000 0.5000
O1 0.0000 0.0000 0.0000

=====

Run 2
# Pb2IO | Alexandria | GGA-PBE | optimized geometry
# Size of the total moment: 0.000 μB/f.u.
# Calculated density: 8.90 Mg/m³
data_Pb2IO
_chemical_formula_sum 'Pb8 I4 O4'
_symmetry_space_group_name_H-M 'F m -3 m'
_symmetry_Int_Tables_number 225
_symmetry_space_group_name_Hall '-F 4 2 3'
_cell_length_a 7.4636
_cell_length_b 7.4636
_cell_length_c 7.4636
_cell_angle_alpha 90.00
_cell_angle_beta 90.00
_cell_angle_gamma 90.00
loop_
_atom_site_label
_atom_site_fract_x
_atom_site_fract_y
_atom_site_fract_z
Pb1 0.2500 0.2500 0.2500
I1 0.0000 0.0000 0.0000
O1 0.0000 0.0000 0.5000

=====

Which structure is the least stable? The one labeled run 2.

=====

Run 1
# Pb2I2O7 | Alexandria | GGA-PBE | optimized geometry
# Size of the total moment: 0.000 μB/f.u.
# Calculated density: 6.87 Mg/m³
data_Pb2I2O7
_chemical_formula_sum 'Pb4 I4 O14'
_symmetry_space_group_name_H-M 'C 1 2/m 1'
_symmetry_Int_Tables_number 12
_cell_length_a 9.2682
_cell_length_b 8.1940
_cell_length_c 4.9741
_cell_angle_alpha 90.00
_cell_angle_beta 92.59
_cell_angle_gamma 90.00
loop_
_symmetry_equiv_pos_as_xyz
'x,y,z'
'-x,-y,-z'
'-x,y,-z'
'x,-y,z'
'x+1/2,y+1/2,z'
'-x+1/2,-y+1/2,-z'
'-x+1/2,y+1/2,-z'
'x+1/2,-y+1/2,z'
loop_
_atom_site_label
_atom_site_fract_x
_atom_site_fract_y
_atom_site_fract_z
Pb1 0.0000 0.2242 0.0000
I1 0.2359 0.5000 0.5115
O1 0.0000 0.5000 0.5000
O2 0.0779 0.0000 0.2684
O3 0.2336 0.1639 0.7383

=====

Run 2
# Pb2I2O7 | Alexandria | GGA-PBE | optimized geometry
# Size of the total moment: 0.000 μB/f.u.
# Calculated density: 6.21 Mg/m³
data_Pb2I2O7
_chemical_formula_sum 'Pb4 I4 O14'
_symmetry_space_group_name_H-M 'P 1 21 1'
_symmetry_Int_Tables_number 4
_cell_length_a 5.1330
_cell_length_b 13.3600
_cell_length_c 6.1094
_cell_angle_alpha 90.00
_cell_angle_beta 94.66
_cell_angle_gamma 90.00
loop_
_symmetry_equiv_pos_as_xyz
'x,y,z'
'-x,y+1/2,-z'
loop_
_atom_site_label
_atom_site_fract_x
_atom_site_fract_y
_atom_site_fract_z
Pb1 0.1630 0.0000 0.0885
Pb2 0.1756 0.7963 0.5425
I1 0.3313 0.5248 0.4473
I2 0.3879 0.2897 0.9363
O1 0.0225 0.4633 0.3420
O2 0.0615 0.3423 0.8398
O3 0.2349 0.5654 0.7159
O4 0.2764 0.6470 0.3030
O5 0.2831 0.2143 0.1667
O6 0.4421 0.8922 0.3385
O7 0.4615 0.8898 0.8813

=====

Which structure is the least stable? The one labeled run 1.

=====

Run 1
# PbI3O | Alexandria | GGA-PBE | optimized geometry
# Size of the total moment: 0.002 μB/f.u.
# Calculated density: 4.26 Mg/m³
data_PbI3O
_chemical_formula_sum 'Pb1 I3 O1'
_symmetry_space_group_name_H-M 'P m -3 m'
_symmetry_Int_Tables_number 221
_symmetry_space_group_name_Hall '-P 4 2 3'
_cell_length_a 6.1735
_cell_length_b 6.1735
_cell_length_c 6.1735
_cell_angle_alpha 90.00
_cell_angle_beta 90.00
_cell_angle_gamma 90.00
loop_
_atom_site_label
_atom_site_fract_x
_atom_site_fract_y
_atom_site_fract_z
Pb1 0.0000 0.0000 0.0000
I1 0.0000 0.0000 0.5000
O1 0.5000 0.5000 0.5000

=====

Run 2
# PbI3O | Alexandria | GGA-PBE | optimized geometry
# Size of the total moment: 0.000 μB/f.u.
# Calculated density: 6.98 Mg/m³
data_PbI3O
_chemical_formula_sum 'Pb1 I3 O1'
_symmetry_space_group_name_H-M 'P m -3 m'
_symmetry_Int_Tables_number 221
_symmetry_space_group_name_Hall '-P 4 2 3'
_cell_length_a 5.2387
_cell_length_b 5.2387
_cell_length_c 5.2387
_cell_angle_alpha 90.00
_cell_angle_beta 90.00
_cell_angle_gamma 90.00
loop_
_atom_site_label
_atom_site_fract_x
_atom_site_fract_y
_atom_site_fract_z
Pb1 0.0000 0.0000 0.0000
I1 0.0000 0.5000 0.5000
O1 0.5000 0.5000 0.5000

=====

Which structure is the least stable? The one labeled run 1.

=====

Run 1
# RePbIO2 | Alexandria | GGA-PBE | optimized geometry
# Size of the total moment: 4.193 μB/f.u.
# Calculated density: 7.62 Mg/m³
data_RePbIO2
_chemical_formula_sum 'Re1 Pb1 I1 O2'
_symmetry_space_group_name_H-M 'P 4/m m m'
_symmetry_Int_Tables_number 123
_symmetry_space_group_name_Hall '-P 4 2'
_cell_length_a 4.1979
_cell_length_b 4.1979
_cell_length_c 6.8319
_cell_angle_alpha 90.00
_cell_angle_beta 90.00
_cell_angle_gamma 90.00
loop_
_atom_site_label
_atom_site_fract_x
_atom_site_fract_y
_atom_site_fract_z
Re1 0.0000 0.0000 0.0000
Pb1 0.5000 0.5000 0.5000
I1 0.5000 0.5000 0.0000
O1 0.0000 0.5000 0.5000

=====

Run 2
# RePbIO2 | Alexandria | GGA-PBE | optimized geometry
# Size of the total moment: 0.272 μB/f.u.
# Calculated density: 8.97 Mg/m³
data_RePbIO2
_chemical_formula_sum 'Re1 Pb1 I1 O2'
_symmetry_space_group_name_H-M 'P 4/m m m'
_symmetry_Int_Tables_number 123
_symmetry_space_group_name_Hall '-P 4 2'
_cell_length_a 4.0566
_cell_length_b 4.0566
_cell_length_c 6.2103
_cell_angle_alpha 90.00
_cell_angle_beta 90.00
_cell_angle_gamma 90.00
loop_
_atom_site_label
_atom_site_fract_x
_atom_site_fract_y
_atom_site_fract_z
Re1 0.0000 0.0000 0.0000
Pb1 0.5000 0.5000 0.5000
I1 0.0000 0.0000 0.5000
O1 0.0000 0.5000 0.0000

=====

Which structure is the least stable? The one labeled run 1.